! Ca2ThZrSb4 | Alexandria | GGA-PBE | relaxed; values from VASP
! SG = P2/m, No. 10
! Crystal system = monoclinic
! Calculated density = 6.00 g/cm³
! Formation energy from raw total energies = -867 meV per atom
&SYSTEM
  ibrav = 0, nat = 8, ntyp = 4
/
ATOMIC_SPECIES
Ca 40.08 Ca.upf
Th 232.04 Th.upf
Zr 91.22 Zr.upf
Sb 121.76 Sb.upf
ATOMIC_POSITIONS angstrom
Ca 0.0000 0.0000 0.0000
Ca 3.8027 2.2027 0.0000
Th -1.2676 2.2027 3.6786
Zr 2.5351 0.0000 3.6786
Sb 0.1131 0.0000 5.4449
Sb 1.3711 2.2027 1.9754
Sb 3.6990 2.2027 5.3818
Sb 4.9570 0.0000 1.9123
CELL_PARAMETERS angstrom
7.6054 0.0000 0.0000
0.0000 4.4055 0.0000
-2.5352 0.0000 7.3572

---

! CaTiSb3 | Alexandria | GGA-PBE | relaxed; values from VASP
! E above lowest polymorph = 0.000 eV/f.u.
! SG = Pbcm, No. 57
! Crystal system = orthorhombic
! Calculated density = 5.71 g/cm³
! Formation energy from raw total energies = -557 meV per atom
&SYSTEM
  ibrav = 0, nat = 20, ntyp = 3
/
ATOMIC_SPECIES
Ca 40.08 Ca.upf
Ti 47.87 Ti.upf
Sb 121.76 Sb.upf
ATOMIC_POSITIONS angstrom
Ca 2.5342 0.0630 1.5657
Ca 2.5342 3.0413 4.6971
Ca 11.0154 3.1673 1.5657
Ca 11.0154 6.1455 4.6971
Ti 5.5529 4.6564 0.0000
Ti 5.5529 4.6564 3.1314
Ti 7.9967 1.5521 0.0000
Ti 7.9967 1.5521 3.1314
Sb 0.0554 4.6564 0.0000
Sb 0.0554 4.6564 3.1314
Sb 3.8132 0.0076 4.6971
Sb 3.8132 3.0967 1.5657
Sb 5.8053 0.7430 1.5657
Sb 5.8053 2.3613 4.6971
Sb 7.7443 3.8473 1.5657
Sb 7.7443 5.4655 4.6971
Sb 9.7364 3.1118 4.6971
Sb 9.7364 6.2010 1.5657
Sb 13.4942 1.5521 0.0000
Sb 13.4942 1.5521 3.1314
CELL_PARAMETERS angstrom
13.5496 0.0000 0.0000
0.0000 6.2085 0.0000
0.0000 0.0000 6.2628

---

! CaTiSb3 | Alexandria | GGA-PBE | relaxed; values from VASP
! E above lowest polymorph = 1.549 eV/f.u.
! SG = Pm-3m, No. 221
! Crystal system = cubic
! Calculated density = 5.03 g/cm³
! Formation energy from raw total energies = -247 meV per atom
&SYSTEM
  ibrav = 0, nat = 5, ntyp = 3
/
ATOMIC_SPECIES
Ca 40.08 Ca.upf
Ti 47.87 Ti.upf
Sb 121.76 Sb.upf
ATOMIC_POSITIONS angstrom
Ca 0.0000 0.0000 0.0000
Ti 2.6551 2.6551 2.6551
Sb 0.0000 2.6551 2.6551
Sb 2.6551 0.0000 2.6551
Sb 2.6551 2.6551 0.0000
CELL_PARAMETERS angstrom
5.3103 0.0000 0.0000
0.0000 5.3103 0.0000
0.0000 0.0000 5.3103

---

! CaTiSb2 | Alexandria | GGA-PBE | relaxed; values from VASP
! E above lowest polymorph = 0.125 eV/f.u.
! SG = R3m, No. 160
! Crystal system = trigonal
! Calculated density = 5.14 g/cm³
! Formation energy from raw total energies = -612 meV per atom
&SYSTEM
  ibrav = 0, nat = 12, ntyp = 3
/
ATOMIC_SPECIES
Ca 40.08 Ca.upf
Ti 47.87 Ti.upf
Sb 121.76 Sb.upf
ATOMIC_POSITIONS angstrom
Ca 0.0000 0.0000 0.0000
Ca 0.0000 2.3662 14.7090
Ca 2.0492 1.1831 7.3545
Ti 0.0000 0.0000 18.3150
Ti 0.0000 2.3662 10.9605
Ti 2.0492 1.1831 3.6060
Sb 0.0000 0.0000 5.1883
Sb 0.0000 0.0000 9.4567
Sb 0.0000 2.3662 2.1022
Sb 0.0000 2.3662 19.8972
Sb 2.0492 1.1831 12.5428
Sb 2.0492 1.1831 16.8111
CELL_PARAMETERS angstrom
4.0985 0.0000 0.0000
-2.0492 3.5494 0.0000
0.0000 0.0000 22.0634

---

! CaTi2Sb | Alexandria | GGA-PBE | relaxed; values from VASP
! SG = I-42d, No. 122
! Crystal system = tetragonal
! Calculated density = 4.36 g/cm³
! Formation energy from raw total energies = 309 meV per atom
&SYSTEM
  ibrav = 0, nat = 16, ntyp = 3
/
ATOMIC_SPECIES
Ca 40.08 Ca.upf
Ti 47.87 Ti.upf
Sb 121.76 Sb.upf
ATOMIC_POSITIONS angstrom
Ca 0.0000 0.0000 0.0000
Ca 0.0000 4.0714 1.4800
Ca 4.0714 0.0000 4.4400
Ca 4.0714 4.0714 2.9600
Ti 1.6982 6.1071 3.7000
Ti 2.0357 1.6982 2.2200
Ti 2.0357 2.3732 5.1800
Ti 2.3732 6.1071 0.7400
Ti 5.7696 2.0357 0.7400
Ti 6.1071 5.7696 5.1800
Ti 6.1071 6.4446 2.2200
Ti 6.4446 2.0357 3.7000
Sb 0.0000 0.0000 2.9600
Sb 0.0000 4.0714 4.4400
Sb 4.0714 0.0000 1.4800
Sb 4.0714 4.0714 0.0000
CELL_PARAMETERS angstrom
8.1428 0.0000 0.0000
0.0000 8.1428 0.0000
0.0000 0.0000 5.9200

---

! CaTiSb2 | Alexandria | GGA-PBE | relaxed; values from VASP
! E above lowest polymorph = 1.117 eV/f.u.
! SG = I-42d, No. 122
! Crystal system = tetragonal
! Calculated density = 5.02 g/cm³
! Formation energy from raw total energies = -364 meV per atom
&SYSTEM
  ibrav = 0, nat = 16, ntyp = 3
/
ATOMIC_SPECIES
Ca 40.08 Ca.upf
Ti 47.87 Ti.upf
Sb 121.76 Sb.upf
ATOMIC_POSITIONS angstrom
Ca 0.0000 0.0000 0.0000
Ca 0.0000 3.9528 1.7550
Ca 3.9528 0.0000 5.2649
Ca 3.9528 3.9528 3.5100
Ti 0.0000 0.0000 3.5100
Ti 0.0000 3.9528 5.2649
Ti 3.9528 0.0000 1.7550
Ti 3.9528 3.9528 0.0000
Sb 1.7112 5.9292 4.3874
Sb 1.9764 1.7112 2.6325
Sb 1.9764 2.2416 6.1424
Sb 2.2416 5.9292 0.8775
Sb 5.6639 1.9764 0.8775
Sb 5.9292 5.6639 6.1424
Sb 5.9292 6.1944 2.6325
Sb 6.1944 1.9764 4.3874
CELL_PARAMETERS angstrom
7.9056 0.0000 0.0000
0.0000 7.9056 0.0000
0.0000 0.0000 7.0199

---

! CaTiSb2 | Alexandria | GGA-PBE | relaxed; values from VASP
! E above lowest polymorph = 1.191 eV/f.u.
! SG = Fm-3m, No. 225
! Crystal system = cubic
! Calculated density = 5.64 g/cm³
! Formation energy from raw total energies = -345 meV per atom
&SYSTEM
  ibrav = 0, nat = 16, ntyp = 3
/
ATOMIC_SPECIES
Ca 40.08 Ca.upf
Ti 47.87 Ti.upf
Sb 121.76 Sb.upf
ATOMIC_POSITIONS angstrom
Ca 0.0000 0.0000 0.0000
Ca 0.0000 3.6539 3.6539
Ca 3.6539 0.0000 3.6539
Ca 3.6539 3.6539 0.0000
Ti 0.0000 0.0000 3.6539
Ti 0.0000 3.6539 0.0000
Ti 3.6539 0.0000 0.0000
Ti 3.6539 3.6539 3.6539
Sb 1.8269 1.8269 1.8269
Sb 1.8269 1.8269 5.4808
Sb 1.8269 5.4808 1.8269
Sb 1.8269 5.4808 5.4808
Sb 5.4808 1.8269 1.8269
Sb 5.4808 1.8269 5.4808
Sb 5.4808 5.4808 1.8269
Sb 5.4808 5.4808 5.4808
CELL_PARAMETERS angstrom
7.3078 0.0000 0.0000
0.0000 7.3078 0.0000
0.0000 0.0000 7.3078

---

! CaTi2Sb2 | Alexandria | GGA-PBE | relaxed; values from VASP
! E above lowest polymorph = 0.000 eV/f.u.
! SG = I4/mmm, No. 139
! Crystal system = tetragonal
! Calculated density = 5.26 g/cm³
! Formation energy from raw total energies = -528 meV per atom
&SYSTEM
  ibrav = 0, nat = 10, ntyp = 3
/
ATOMIC_SPECIES
Ca 40.08 Ca.upf
Ti 47.87 Ti.upf
Sb 121.76 Sb.upf
ATOMIC_POSITIONS angstrom
Ca 0.0000 0.0000 0.0000
Ca 2.1266 2.1266 6.6187
Ti 0.0000 2.1266 3.3093
Ti 0.0000 2.1266 9.9280
Ti 2.1266 0.0000 3.3093
Ti 2.1266 0.0000 9.9280
Sb 0.0000 0.0000 5.0779
Sb 0.0000 0.0000 8.1594
Sb 2.1266 2.1266 1.5408
Sb 2.1266 2.1266 11.6966
CELL_PARAMETERS angstrom
4.2532 0.0000 0.0000
0.0000 4.2532 0.0000
0.0000 0.0000 13.2374

---

! CaTiSb2 | Alexandria | GGA-PBE | relaxed; values from VASP
! E above lowest polymorph = 0.000 eV/f.u.
! SG = R-3m, No. 166
! Crystal system = trigonal
! Calculated density = 5.21 g/cm³
! Formation energy from raw total energies = -643 meV per atom
&SYSTEM
  ibrav = 0, nat = 12, ntyp = 3
/
ATOMIC_SPECIES
Ca 40.08 Ca.upf
Ti 47.87 Ti.upf
Sb 121.76 Sb.upf
ATOMIC_POSITIONS angstrom
Ca 0.0000 0.0000 0.0000
Ca 0.0000 2.3590 14.6243
Ca 2.0429 1.1795 7.3121
Ti 0.0000 0.0000 10.9682
Ti 0.0000 2.3590 3.6561
Ti 2.0429 1.1795 18.2804
Sb 0.0000 0.0000 5.2151
Sb 0.0000 0.0000 16.7214
Sb 0.0000 2.3590 9.4092
Sb 0.0000 2.3590 19.8394
Sb 2.0429 1.1795 2.0971
Sb 2.0429 1.1795 12.5272
CELL_PARAMETERS angstrom
4.0858 0.0000 0.0000
-2.0429 3.5384 0.0000
0.0000 0.0000 21.9364

---

! CaTi2Sb2 | Alexandria | GGA-PBE | relaxed; values from VASP
! E above lowest polymorph = 1.675 eV/f.u.
! SG = I4/mmm, No. 139
! Crystal system = tetragonal
! Calculated density = 4.99 g/cm³
! Formation energy from raw total energies = -193 meV per atom
&SYSTEM
  ibrav = 0, nat = 10, ntyp = 3
/
ATOMIC_SPECIES
Ca 40.08 Ca.upf
Ti 47.87 Ti.upf
Sb 121.76 Sb.upf
ATOMIC_POSITIONS angstrom
Ca 0.0000 0.0000 0.0000
Ca 2.6592 2.6592 4.4652
Ti 0.0000 0.0000 3.1622
Ti 0.0000 0.0000 5.7682
Ti 2.6592 2.6592 1.3030
Ti 2.6592 2.6592 7.6274
Sb 0.0000 2.6592 2.2326
Sb 0.0000 2.6592 6.6978
Sb 2.6592 0.0000 2.2326
Sb 2.6592 0.0000 6.6978
CELL_PARAMETERS angstrom
5.3184 0.0000 0.0000
0.0000 5.3184 0.0000
0.0000 0.0000 8.9304

---

! CaTi2Sb2 | Alexandria | GGA-PBE | relaxed; values from VASP
! E above lowest polymorph = 0.605 eV/f.u.
! SG = P4/mbm, No. 127
! Crystal system = tetragonal
! Calculated density = 5.53 g/cm³
! Formation energy from raw total energies = -407 meV per atom
&SYSTEM
  ibrav = 0, nat = 10, ntyp = 3
/
ATOMIC_SPECIES
Ca 40.08 Ca.upf
Ti 47.87 Ti.upf
Sb 121.76 Sb.upf
ATOMIC_POSITIONS angstrom
Ca 0.0000 0.0000 0.0000
Ca 3.9698 3.9698 0.0000
Ti 1.0563 2.9135 1.8057
Ti 2.9135 6.8834 1.8057
Ti 5.0261 1.0563 1.8057
Ti 6.8834 5.0261 1.8057
Sb 1.1887 5.1586 0.0000
Sb 2.7811 1.1887 0.0000
Sb 5.1586 6.7510 0.0000
Sb 6.7510 2.7811 0.0000
CELL_PARAMETERS angstrom
7.9397 0.0000 0.0000
0.0000 7.9397 0.0000
0.0000 0.0000 3.6114

---

! CaTlSb2 | Alexandria | GGA-PBE | relaxed; values from VASP
! E above lowest polymorph = 0.561 eV/f.u.
! SG = R3m, No. 160
! Crystal system = trigonal
! Calculated density = 5.96 g/cm³
! Formation energy from raw total energies = -284 meV per atom
&SYSTEM
  ibrav = 0, nat = 12, ntyp = 3
/
ATOMIC_SPECIES
Ca 40.08 Ca.upf
Tl 204.38 Tl.upf
Sb 121.76 Sb.upf
ATOMIC_POSITIONS angstrom
Ca 0.0000 0.0000 0.0000
Ca 0.0000 3.0147 11.5189
Ca 2.6108 1.5073 5.7594
Tl 0.0000 0.0000 3.2478
Tl 0.0000 3.0147 14.7667
Tl 2.6108 1.5073 9.0072
Sb 0.0000 0.0000 7.3963
Sb 0.0000 0.0000 10.3003
Sb 0.0000 3.0147 1.6368
Sb 0.0000 3.0147 4.5409
Sb 2.6108 1.5073 13.1557
Sb 2.6108 1.5073 16.0598
CELL_PARAMETERS angstrom
5.2216 0.0000 0.0000
-2.6108 4.5220 0.0000
0.0000 0.0000 17.2783